Compound: RbCuRe2Pt
Source: the Alexandria database
Functional: GGA-PBE
Structure: optimized geometry

Cell: 4.7426 4.9197 4.7426 Å, 90.00 90.00 90.00°
Each line ends with the local moment (μB).
Atoms (fractional coordinates):
Re (0.0000, 0.0000, 0.5000)  2.62
Re (0.5000, 0.0000, 0.0000)  1.93
Cu (0.0000, 0.0000, 0.0000)  0.24
Rb (0.5000, 0.5000, 0.5000)  0.05
Pt (0.0000, 0.5000, 0.0000)  0.25

DOS(E_F)   5.61 states/eV/cell
ΔE_f   9.82 eV/f.u.
M_tot   5.956 μB per formula unit

Compound: LaPW2
Source: the Alexandria database
Functional: GGA-PBE
Structure: optimized geometry

Cell: 2.9949 2.9949 8.9970 Å, 90.00 90.00 110.96°
Atoms (fractional coordinates):
La (0.0000, 0.0000, 0.5132)
P (0.5000, 0.5000, 0.7859)
W (0.0000, 0.0000, 0.9874)
W (0.5000, 0.5000, 0.2134)

DOS(E_F)   2.62 states/eV/cell
ΔE_f   1.14 eV/f.u.
M_tot   0.000 μB per formula unit
Distance to the lowest polymorph of the same formula   353.0 meV/atom

Compound: KScTa2Tl
Source: the Alexandria database
Functional: GGA-PBE
Structure: optimized geometry

Cell: 4.7370 5.4634 4.7370 Å, 90.00 90.00 90.00°
Atoms (fractional coordinates):
Sc (0.5000, 0.5000, 0.5000)
Tl (0.0000, 0.5000, 0.0000)
K (0.0000, 0.0000, 0.0000)
Ta (0.0000, 0.0000, 0.5000)
Ta (0.5000, 0.0000, 0.0000)

DOS(E_F)   7.27 states/eV/cell
ΔE_f   11.69 eV/f.u.
M_tot   0.000 μB per formula unit

Compound: FeMoSeBr2
Source: the Alexandria database
Functional: GGA-PBE
Structure: optimized geometry

Cell: 5.0446 5.0446 4.5224 Å, 90.00 90.00 90.00°
Each line ends with the local moment (μB).
Atoms (fractional coordinates):
Mo (0.5000, 0.5000, 0.5000)  3.78
Se (0.0000, 0.0000, 0.5000)  -0.12
Br (0.0000, 0.5000, 0.0000)  0.00
Br (0.5000, 0.0000, 0.0000)  0.00
Fe (0.0000, 0.0000, 0.0000)  0.19

DOS(E_F)   7.92 states/eV/cell
Energy relative to the elements, uncorrected   0.821 eV per atom
M_tot   4.597 μB per formula unit
Distance to the lowest polymorph of the same formula   176.1 meV/atom

Compound: LiFe2Br
Source: the Alexandria database
Functional: GGA-PBE
Structure: optimized geometry

Cell: 3.2379 3.2379 7.6520 Å, 77.67 77.67 59.99°
Each line ends with the local moment (μB).
Atoms (fractional coordinates):
Br (0.2497, 0.2497, 0.2541)  0.04
Fe (0.0053, 0.0053, 0.9810)  2.87
Fe (0.7405, 0.7405, 0.7775)  2.65
Li (0.5045, 0.5045, 0.4875)  0.00

DOS(E_F)   1.11 states/eV/cell
Energy relative to the elements, uncorrected   0.171 eV per atom
M_tot   5.601 μB per formula unit
Distance to the lowest polymorph of the same formula   153.0 meV/atom

Compound: BaInAg2F8
Source: the Alexandria database
Functional: GGA-PBE
Structure: optimized geometry

Cell: 5.6412 5.6412 7.0574 Å, 113.56 113.56 90.00°
Each line ends with the local moment (μB).
Atoms (fractional coordinates):
Ba (0.5000, 0.5000, 0.0000)  0.00
In (0.2500, 0.7500, 0.5000)  0.00
Ag (0.7500, 0.2500, 0.5000)  0.39
Ag (0.0000, 0.0000, 0.0000)  0.33
F (0.1193, 0.6360, 0.7216)  0.05
F (0.6024, 0.6360, 0.7216)  0.05
F (0.3640, 0.3976, 0.2784)  0.05
F (0.9143, 0.8807, 0.2784)  0.05
F (0.6024, 0.0857, 0.7216)  0.05
F (0.3640, 0.8807, 0.2784)  0.05
F (0.1193, 0.0857, 0.7216)  0.05
F (0.9143, 0.3976, 0.2784)  0.05

DOS(E_F)   11.63 states/eV/cell
Energy relative to the elements, uncorrected   -2.175 eV per atom
M_tot   1.146 μB per formula unit